# 1
# Li2Si2Pt

Li2Si2Pt after structural relaxation (GGA-PBE, the Alexandria database).

The raw formation energy comes out at -0.486 eV/atom.

The space group is C2/m (No. 12) and the conventional cell measures 9.956, 4.181 and 7.837 Å, with angles of 90.00, 105.19 and 90.00 degrees. Symmetry generates all atoms from Li at (0.105, 0.000, 0.377), Li at (0.163, 0.000, 0.030), Si at (0.045, 0.500, 0.150), Si at (0.098, 0.500, 0.646) and Pt at (0.217, 0.000, 0.718).

---

# 2
# AcCe2Pa

AcCe2Pa after structural relaxation (GGA-PBE, the Alexandria database).

The value obtained for the energy relative to the elements is 0.6291 eV/atom. Its polymorph energy (0 for the lowest one) is 416 meV/atom.

The space group is R-3m (No. 166, hexagonal axes) and the conventional cell measures 3.8892, 3.8892 and 30.9532 Å, with angles of 90.00, 90.00 and 120.00 degrees. Symmetry generates all atoms from Ac at (0.0000, 0.0000, 0.0000), Ce at (0.0000, 0.0000, 0.1152) and Pa at (0.0000, 0.0000, 0.5000).

---

# 3
# InB3Pb

InB3Pb after structural relaxation (GGA-PBE, the Alexandria database).

The value obtained for the energy relative to the elements is 2.0478 eV/atom. Its polymorph energy (0 for the lowest one) is 0 meV/atom.

The space group is Pm-3m (No. 221) and the conventional cell measures 4.584, 4.584 and 4.584 Å, with angles of 90.00, 90.00 and 90.00 degrees. Symmetry generates all atoms from In at (0.000, 0.000, 0.000), B at (0.000, 0.000, 0.500) and Pb at (0.500, 0.500, 0.500).

---

# 4
# NiPd8Au3

NiPd8Au3 after structural relaxation (GGA-PBE, the Alexandria database).

The value obtained for the energy relative to the elements is 0.4611 eV/atom.

The space group is I-42m (No. 121) and the conventional cell measures 6.928, 6.928 and 9.615 Å, with angles of 90.00, 90.00 and 90.00 degrees. Symmetry generates all atoms from Ni at (0.000, 0.000, 0.000), Pd at (0.135, 0.135, 0.789), Pd at (0.233, 0.233, 0.058), Au at (0.000, 0.000, 0.500) and Au at (0.000, 0.500, 0.250).

---

# 5
# LaEr2Hg

LaEr2Hg after structural relaxation (GGA-PBE, the Alexandria database).

The value obtained for the energy relative to the elements is -0.1451 eV/atom. Its polymorph energy (0 for the lowest one) is 90 meV/atom.

The space group is P4/mmm (No. 123) and the conventional cell measures 4.872, 4.872 and 4.853 Å, with angles of 90.00, 90.00 and 90.00 degrees. Symmetry generates all atoms from La at (0.000, 0.000, 0.000), Er at (0.000, 0.500, 0.500) and Hg at (0.500, 0.500, 0.000).

---

# 6
# Nd2TmGe

Nd2TmGe after structural relaxation (GGA-PBE, the Alexandria database).

The value obtained for the energy relative to the elements is 0.0145 eV/atom. Its polymorph energy (0 for the lowest one) is 336 meV/atom.

The space group is R-3m (No. 166, hexagonal axes) and the conventional cell measures 3.6599, 3.6599 and 33.0995 Å, with angles of 90.00, 90.00 and 120.00 degrees. Symmetry generates all atoms from Nd at (0.0000, 0.0000, 0.1032), Tm at (0.0000, 0.0000, 0.0000) and Ge at (0.0000, 0.0000, 0.5000).

---

# 7
# AgS4Br2

AgS4Br2 after structural relaxation (GGA-PBE, the Alexandria database).

The raw formation energy comes out at 0.053 eV/atom.

The space group is Cm (No. 8) and the conventional cell measures 14.825, 5.141 and 5.453 Å, with angles of 90.00, 109.91 and 90.00 degrees. Symmetry generates all atoms from Ag at (0.000, 0.000, 0.000), S at (0.221, 0.291, 0.602), S at (0.320, 0.274, 0.960), Br at (0.079, 0.500, 0.072) and Br at (0.487, 0.500, 0.495).

---

# 8
# Na3ScCl6

Na3ScCl6 after structural relaxation (GGA-PBE, the Alexandria database).

The raw formation energy comes out at -1.815 eV/atom.

The space group is Fm-3m (No. 225) and the conventional cell measures 10.319, 10.319 and 10.319 Å, with angles of 90.00, 90.00 and 90.00 degrees. Symmetry generates all atoms from Na at (0.000, 0.000, 0.000), Na at (0.250, 0.250, 0.250), Sc at (0.000, 0.000, 0.500) and Cl at (0.000, 0.000, 0.260).

---

# 9
# KScPt2

KScPt2 after structural relaxation (GGA-PBE, the Alexandria database).

The value obtained for the energy relative to the elements is -0.4428 eV/atom.

The space group is R-3m (No. 166, hexagonal axes) and the conventional cell measures 3.8498, 3.8498 and 23.3654 Å, with angles of 90.00, 90.00 and 120.00 degrees. Symmetry generates all atoms from K at (0.0000, 0.0000, 0.0000), Sc at (0.0000, 0.0000, 0.5000) and Pt at (0.0000, 0.0000, 0.2298).

---

# 10
# Sm6GeAs3S2

Sm6GeAs3S2 after structural relaxation (GGA-PBE, the Alexandria database).

The raw formation energy comes out at -1.609 eV/atom.

The space group is C2/m (No. 12) and the conventional cell measures 18.117, 4.161 and 8.323 Å, with angles of 90.00, 103.13 and 90.00 degrees. Symmetry generates all atoms from Sm at (0.001, 0.000, 0.250), Sm at (0.166, 0.500, 0.083), Sm at (0.166, 0.500, 0.584), Ge at (0.000, 0.500, 0.000), As at (0.000, 0.500, 0.500), As at (0.168, 0.000, 0.831) and S at (0.169, 0.000, 0.337).

---

# 11
# LaY3Cd

LaY3Cd after structural relaxation (GGA-PBE, the Alexandria database).

The value obtained for the energy relative to the elements is -0.0330 eV/atom. Its polymorph energy (0 for the lowest one) is 0 meV/atom.

The space group is C2/m (No. 12) and the conventional cell measures 11.526, 7.332 and 8.169 Å, with angles of 90.00, 110.68 and 90.00 degrees. Symmetry generates all atoms from La at (0.057, 0.000, 0.227), Y at (0.061, 0.500, 0.244), Y at (0.159, 0.250, 0.637) and Cd at (0.235, 0.500, 0.000).

---

# 12
# TbMg2InPd4

TbMg2InPd4 after structural relaxation (GGA-PBE, the Alexandria database).

The value obtained for the energy relative to the elements is -0.7202 eV/atom.

The space group is R-3m (No. 166, hexagonal axes) and the conventional cell measures 4.6868, 4.6868 and 22.8771 Å, with angles of 90.00, 90.00 and 120.00 degrees. Symmetry generates all atoms from Tb at (0.0000, 0.0000, 0.0000), Mg at (0.0000, 0.0000, 0.2471), In at (0.0000, 0.0000, 0.5000), Pd at (0.0000, 0.0000, 0.1261) and Pd at (0.0000, 0.0000, 0.3798).

---

# 13
# MgZn2HRh

MgZn2HRh after structural relaxation (GGA-PBE, the Alexandria database).

Its polymorph energy (0 for the lowest one) is 18 meV/atom.

The space group is P4/mmm (No. 123) and the conventional cell measures 4.215, 4.215 and 3.602 Å, with angles of 90.00, 90.00 and 90.00 degrees. Symmetry generates all atoms from Mg at (0.000, 0.000, 0.000), Zn at (0.000, 0.500, 0.500), H at (0.500, 0.500, 0.500) and Rh at (0.500, 0.500, 0.000).

---

# 14
# La2Tb5Ho4

La2Tb5Ho4 after structural relaxation (GGA-PBE, the Alexandria database).

The value obtained for the energy relative to the elements is 0.0669 eV/atom. Its polymorph energy (0 for the lowest one) is 0 meV/atom.

The space group is C2/m (No. 12) and the conventional cell measures 17.622, 3.536 and 11.664 Å, with angles of 90.00, 94.40 and 90.00 degrees. Symmetry generates all atoms from La at (0.217, 0.000, 0.353), Tb at (0.000, 0.000, 0.000), Tb at (0.094, 0.500, 0.539), Tb at (0.176, 0.500, 0.065), Ho at (0.032, 0.500, 0.254) and Ho at (0.140, 0.000, 0.799).

---

# 15
# Ta2AgSb

Ta2AgSb after structural relaxation (GGA-PBE, the Alexandria database).

The raw formation energy comes out at 0.178 eV/atom.

The space group is P4mm (No. 99) and the conventional cell measures 3.591, 3.591 and 6.044 Å, with angles of 90.00, 90.00 and 90.00 degrees. Symmetry generates all atoms from Ta at (0.000, 0.000, 0.000), Ta at (0.500, 0.500, 0.208), Ag at (0.000, 0.000, 0.475) and Sb at (0.500, 0.500, 0.724).

---

# 16
# CeNdPN

CeNdPN after structural relaxation (GGA-PBE, the Alexandria database).

The raw formation energy comes out at -1.380 eV/atom.

The space group is R3m (No. 160, hexagonal axes) and the conventional cell measures 3.8280, 3.8280 and 19.2045 Å, with angles of 90.00, 90.00 and 120.00 degrees. Symmetry generates all atoms from Ce at (0.0000, 0.0000, 0.0000), Nd at (0.0000, 0.0000, 0.4797), P at (0.0000, 0.0000, 0.2417) and N at (0.0000, 0.0000, 0.7320).

---

# 17
# ScBePd

ScBePd after structural relaxation (GGA-PBE, the Alexandria database).

The value obtained for the energy relative to the elements is -0.5098 eV/atom.

The space group is P-6m2 (No. 187) and the conventional cell measures 4.0806, 4.0806 and 3.2794 Å, with angles of 90.00, 90.00 and 120.00 degrees. Symmetry generates all atoms from Sc at (0.0000, 0.0000, 0.0000), Be at (0.3333, 0.6667, 0.5000) and Pd at (0.6667, 0.3333, 0.5000).

---

# 18
# LiPaI6

LiPaI6 after structural relaxation (GGA-PBE, the Alexandria database).

The raw formation energy comes out at -0.966 eV/atom. Its polymorph energy (0 for the lowest one) is 5 meV/atom.

The space group is P312 (No. 149) and the conventional cell measures 7.4974, 7.4974 and 6.9389 Å, with angles of 90.00, 90.00 and 120.00 degrees. Symmetry generates all atoms from Li at (0.0000, 0.0000, 0.0000), Pa at (0.6667, 0.3333, 0.5000) and I at (0.3439, 0.0137, 0.7466).

---

# 19
# Rb3Dy3OsO8

Rb3Dy3OsO8 after structural relaxation (GGA-PBE, the Alexandria database).

The raw formation energy comes out at -2.307 eV/atom.

The space group is R-3m (No. 166, hexagonal axes) and the conventional cell measures 6.8158, 6.8158 and 19.7154 Å, with angles of 90.00, 90.00 and 120.00 degrees. Symmetry generates all atoms from Rb at (0.0000, 0.5000, 0.0000), Dy at (0.0000, 0.5000, 0.5000), Os at (0.0000, 0.0000, 0.5000), O at (0.0000, 0.0000, 0.2244) and O at (0.0256, 0.5128, 0.2211).

---

# 20
# Dy4TcBr5

Dy4TcBr5 after structural relaxation (GGA-PBE, the Alexandria database).

The raw formation energy comes out at -1.256 eV/atom.

The space group is C2/m (No. 12) and the conventional cell measures 18.395, 3.796 and 9.197 Å, with angles of 90.00, 104.60 and 90.00 degrees. Symmetry generates all atoms from Dy at (0.002, 0.000, 0.234), Dy at (0.143, 0.500, 0.075), Tc at (0.000, 0.500, 0.000), Br at (0.000, 0.500, 0.500), Br at (0.169, 0.000, 0.324) and Br at (0.173, 0.000, 0.850).

---

Number 1: V 78.7 Å³/f.u.. Number 2: V 135.2 Å³/f.u.. Number 3: V 96.3 Å³/f.u.. Number 4: V 230.8 Å³/f.u.. Number 5: V 115.2 Å³/f.u.. Number 6: V 128.0 Å³/f.u.. Number 7: V 195.4 Å³/f.u.. Number 8: V 274.7 Å³/f.u.. Number 9: V 100.0 Å³/f.u.. Number 10: V 305.5 Å³/f.u.. Number 11: V 161.5 Å³/f.u.. Number 12: V 145.1 Å³/f.u.. Number 13: V 64.0 Å³/f.u.. Number 14: V 362.4 Å³/f.u.. Number 15: V 78.0 Å³/f.u.. Number 16: V 81.2 Å³/f.u.. Number 17: V 47.3 Å³/f.u.. Number 18: V 337.8 Å³/f.u.. Number 19: V 264.4 Å³/f.u.. Number 20: V 310.7 Å³/f.u..